Record 1
! La2AlSi PBE relaxed; values from VASP
&SYSTEM
  ibrav = 0, nat = 4, ntyp = 3
/
ATOMIC_SPECIES
La 138.91 La.upf
Si 28.09 Si.upf
Al 26.98 Al.upf
CELL_PARAMETERS angstrom
-5.363 -2.639 -1.567
-2.538 -3.786 -4.171
-0.382 -4.505 1.570
ATOMIC_POSITIONS crystal
La 0.987 0.987 0.014
La 0.764 0.764 0.735
Si 0.549 0.549 0.451
Al 0.200 0.200 0.300
! - total energy (eV per atom) = -5.2846

---

Record 2
! BiSe2N PBE relaxed; values from VASP
&SYSTEM
  ibrav = 0, nat = 4, ntyp = 3
/
ATOMIC_SPECIES
Se 78.96 Se.upf
Bi 208.98 Bi.upf
N 14.01 N.upf
CELL_PARAMETERS angstrom
-0.364 2.297 4.378
-3.068 3.857 0.527
-4.125 -0.467 2.708
ATOMIC_POSITIONS crystal
Se 0.250 0.250 0.250
Se 0.750 0.750 0.750
Bi 0.500 0.500 0.500
N 0.000 0.000 0.000
! - total energy (eV per atom) = -3.5665

---

Record 3
! TbVSe3 PBE relaxed; values from VASP
&SYSTEM
  ibrav = 0, nat = 20, ntyp = 3
/
ATOMIC_SPECIES
V 50.94 V.upf
Se 78.96 Se.upf
Tb 158.93 Tb.upf
CELL_PARAMETERS angstrom
7.014 0.000 0.000
0.000 7.420 0.280
0.000 -0.838 9.049
ATOMIC_POSITIONS crystal
V 0.246 0.918 0.080
V 0.754 0.082 0.920
V 0.746 0.082 0.420
V 0.254 0.918 0.580
Se 0.188 0.580 0.617
Se 0.555 0.795 0.451
Se 0.688 0.420 0.883
Se 0.812 0.420 0.383
Se 0.312 0.580 0.117
Se 0.945 0.795 0.951
Se 0.445 0.205 0.549
Se 0.927 0.061 0.663
Se 0.073 0.939 0.337
Se 0.573 0.061 0.163
Se 0.055 0.205 0.049
Se 0.427 0.939 0.837
Tb 0.307 0.328 0.835
Tb 0.693 0.672 0.165
Tb 0.807 0.672 0.665
Tb 0.193 0.328 0.335
! - total energy (eV per atom) = -6.0015